The following is a GGA+U calculation of a relaxed Ba3Mn2ZnO6 crystal, from Alexandria.

```
Ba3Mn2ZnO6
1.0
6.061 0.000 0.000
-3.031 5.249 0.000
0.000 0.000 6.831
Ba O Mn Zn
3 6 2 1
Cartesian
3.031 1.750 2.488
0.000 3.499 4.343
0.000 0.000 0.000
1.504 0.868 4.738
0.000 1.736 2.093
1.527 4.381 2.093
-1.527 4.381 2.093
4.558 0.868 4.738
3.031 3.513 4.738
3.031 1.750 5.558
0.000 3.499 1.272
0.000 0.000 3.415
```

Properties
Total energy: -6.0873 eV per atom
V: 217 Å³/cell
Total magnetization: 9.94 Bohr magnetons per cell